Record 1
{"formula": "EuYGa", "functional": "PBE", "state": "relaxed", "lattice_angstrom": [[0.000, 3.619, 3.619], [3.619, 0.000, 3.619], [3.619, 3.619, 0.000]], "species": ["Eu", "Y", "Ga"], "fractional_positions": [[0.000, 0.000, 0.000], [0.500, 0.500, 0.500], [0.250, 0.250, 0.250]], "crystal_system": "cubic", "mass_density_g_cm3": 5.4, "relative_energy_mev_per_atom": 137, "dft_energy_ev_per_cell": -20.3, "magmom_total_mub_per_cell": 7.202, "spacegroup": "F-43m", "ef_ev_per_fu": -0.6}


Record 2
{"formula": "AsHIrBr2", "functional": "PBE", "state": "relaxed", "lattice_angstrom": [[5.343, 0.000, 0.000], [0.000, 5.343, 0.000], [0.000, 0.000, 4.607]], "species": ["As", "H", "Ir", "Br", "Br"], "fractional_positions": [[0.000, 0.000, 0.000], [0.500, 0.500, 0.000], [0.000, 0.000, 0.500], [0.000, 0.500, 0.500], [0.500, 0.000, 0.500]], "crystal_system": "tetragonal", "mass_density_g_cm3": 5.4, "relative_energy_mev_per_atom": 0, "dft_energy_ev_per_cell": -16.7, "magmom_total_mub_per_cell": 0.620, "spacegroup": "P4/mmm"}


Record 3
{"formula": "YTa2O", "functional": "PBE", "state": "relaxed", "lattice_angstrom": [[-3.220, 3.220, 4.191], [3.220, -3.220, 4.191], [3.220, 3.220, -4.191]], "species": ["Y", "Y", "Ta", "Ta", "Ta", "Ta", "O", "O"], "fractional_positions": [[0.000, 0.000, 0.000], [0.750, 0.250, 0.500], [0.314, 0.625, 0.189], [0.375, 0.564, 0.689], [0.436, 0.125, 0.811], [0.875, 0.686, 0.311], [0.250, 0.750, 0.500], [0.500, 0.500, 0.000]], "crystal_system": "tetragonal", "mass_density_g_cm3": 8.9, "relative_energy_mev_per_atom": 0, "dft_energy_ev_per_cell": -73.4, "magmom_total_mub_per_cell": 0.000, "spacegroup": "I-42d", "raw_formation_energy_ev_per_atom": -0.3880}


Record 4
{"formula": "ReP2Br", "functional": "PBE", "state": "relaxed", "lattice_angstrom": [[3.153, 0.000, 0.000], [0.000, 3.153, 0.000], [0.000, 0.000, 7.761]], "species": ["Re", "P", "P", "Br"], "fractional_positions": [[0.000, 0.000, 0.000], [0.000, 0.000, 0.696], [0.500, 0.500, 0.853], [0.500, 0.500, 0.252]], "crystal_system": "tetragonal", "mass_density_g_cm3": 7.1, "relative_energy_mev_per_atom": 329, "dft_energy_ev_per_cell": -23.5, "magmom_total_mub_per_cell": 0.000, "spacegroup": "P4mm", "raw_formation_energy_ev_per_atom": 0.3586}


Record 5
{"formula": "Be4PdRh3", "functional": "PBE", "state": "relaxed", "lattice_angstrom": [[2.799, 0.000, 0.000], [0.000, 2.799, 0.000], [0.000, 0.000, 11.171]], "species": ["Be", "Be", "Be", "Be", "Pd", "Rh", "Rh", "Rh"], "fractional_positions": [[0.000, 0.000, 0.124], [0.000, 0.000, 0.364], [0.000, 0.000, 0.636], [0.000, 0.000, 0.876], [0.500, 0.500, 0.500], [0.500, 0.500, 0.000], [0.500, 0.500, 0.248], [0.500, 0.500, 0.752]], "crystal_system": "tetragonal", "mass_density_g_cm3": 8.6, "dft_energy_ev_per_cell": -47.3, "magmom_total_mub_per_cell": 0.000, "spacegroup": "P4/mmm", "ef_ev_per_fu": -5.1}


Record 6
{"formula": "La3Si2Ir", "functional": "PBE", "state": "relaxed", "lattice_angstrom": [[12.139, 0.000, 0.000], [0.000, 4.369, 0.000], [0.000, 0.000, 11.778]], "species": ["La", "La", "La", "La", "La", "La", "La", "La", "La", "La", "La", "La", "Si", "Si", "Si", "Si", "Si", "Si", "Si", "Si", "Ir", "Ir", "Ir", "Ir"], "fractional_positions": [[0.058, 0.250, 0.122], [0.117, 0.750, 0.557], [0.214, 0.250, 0.801], [0.286, 0.750, 0.301], [0.383, 0.250, 0.057], [0.442, 0.750, 0.622], [0.558, 0.250, 0.378], [0.617, 0.750, 0.943], [0.714, 0.250, 0.699], [0.786, 0.750, 0.199], [0.883, 0.250, 0.443], [0.942, 0.750, 0.878], [0.029, 0.750, 0.314], [0.201, 0.750, 0.993], [0.299, 0.250, 0.493], [0.471, 0.250, 0.814], [0.529, 0.750, 0.186], [0.701, 0.750, 0.507], [0.799, 0.250, 0.007], [0.971, 0.250, 0.686], [0.129, 0.250, 0.362], [0.371, 0.750, 0.862], [0.629, 0.250, 0.138], [0.871, 0.750, 0.638]], "crystal_system": "orthorhombic", "mass_density_g_cm3": 7.1, "dft_energy_ev_per_cell": -156.8, "magmom_total_mub_per_cell": 0.000, "spacegroup": "Pnma", "raw_formation_energy_ev_per_atom": -0.7869}


Record 7
{"formula": "Nd4DyHo2Tm", "functional": "PBE", "state": "relaxed", "lattice_angstrom": [[5.113, 0.000, 0.000], [0.000, 5.139, 0.000], [0.000, 0.000, 10.024]], "species": ["Nd", "Nd", "Nd", "Nd", "Dy", "Ho", "Ho", "Tm"], "fractional_positions": [[0.000, 0.000, 0.249], [0.000, 0.000, 0.751], [0.500, 0.500, 0.249], [0.500, 0.500, 0.751], [0.000, 0.500, 0.500], [0.000, 0.500, 0.000], [0.500, 0.000, 0.500], [0.500, 0.000, 0.000]], "crystal_system": "orthorhombic", "mass_density_g_cm3": 7.8, "dft_energy_ev_per_cell": -37.2, "magmom_total_mub_per_cell": 0.000, "spacegroup": "Pmmm", "ef_ev_per_fu": 0.1}


Record 8
{"formula": "Ac2LaPr", "functional": "PBE", "state": "relaxed", "lattice_angstrom": [[1.943, 1.122, 12.467], [-1.943, 1.122, 12.467], [0.000, -2.243, 12.467]], "species": ["Ac", "Ac", "La", "Pr"], "fractional_positions": [[0.249, 0.249, 0.249], [0.751, 0.751, 0.751], [0.000, 0.000, 0.000], [0.500, 0.500, 0.500]], "crystal_system": "trigonal", "mass_density_g_cm3": 7.5, "relative_energy_mev_per_atom": 9, "dft_energy_ev_per_cell": -17.8, "magmom_total_mub_per_cell": 0.000, "spacegroup": "R-3m", "ef_ev_per_fu": 0.1}


Record 9
{"formula": "TaCr2Cd", "functional": "PBE", "state": "relaxed", "lattice_angstrom": [[-1.557, 2.231, 4.420], [1.557, -2.231, 4.420], [1.557, 2.231, -4.420]], "species": ["Ta", "Cr", "Cr", "Cd"], "fractional_positions": [[0.000, 0.000, 0.000], [0.545, 0.545, 0.000], [0.740, 0.240, 0.500], [0.279, 0.779, 0.500]], "crystal_system": "orthorhombic", "mass_density_g_cm3": 10.7, "dft_energy_ev_per_cell": -30.5, "magmom_total_mub_per_cell": 0.001, "spacegroup": "Imm2", "ef_ev_per_fu": 1.5}


Record 10
{"formula": "Sr3Pm2YTe6", "functional": "PBE", "state": "relaxed", "lattice_angstrom": [[10.039, -2.262, 0.000], [10.039, 2.262, 0.000], [-2.374, 0.000, 8.919]], "species": ["Sr", "Sr", "Sr", "Pm", "Pm", "Y", "Te", "Te", "Te", "Te", "Te", "Te"], "fractional_positions": [[0.000, 0.000, 0.000], [0.332, 0.332, 0.665], [0.668, 0.668, 0.335], [0.331, 0.331, 0.160], [0.669, 0.669, 0.840], [0.000, 0.000, 0.500], [0.161, 0.161, 0.590], [0.168, 0.168, 0.080], [0.497, 0.497, 0.263], [0.503, 0.503, 0.737], [0.832, 0.832, 0.920], [0.839, 0.839, 0.410]], "crystal_system": "monoclinic", "mass_density_g_cm3": 5.8, "dft_energy_ev_per_cell": -58.3, "magmom_total_mub_per_cell": 0.000, "spacegroup": "C2/m", "raw_formation_energy_ev_per_atom": -1.5349}


Record 11
{"formula": "KCr2Tc", "functional": "PBE", "state": "relaxed", "lattice_angstrom": [[3.823, -1.457, 0.000], [3.823, 1.457, 0.000], [-0.639, 0.000, 7.902]], "species": ["K", "Cr", "Cr", "Tc"], "fractional_positions": [[0.000, 0.000, 0.000], [0.501, 0.501, 0.526], [0.773, 0.773, 0.365], [0.226, 0.226, 0.648]], "crystal_system": "monoclinic", "mass_density_g_cm3": 4.5, "relative_energy_mev_per_atom": 133, "dft_energy_ev_per_cell": -27.0, "magmom_total_mub_per_cell": 2.493, "spacegroup": "Cm", "ef_ev_per_fu": 3.7}


Record 12
{"formula": "Hf4Te3S", "functional": "PBE", "state": "relaxed", "lattice_angstrom": [[7.456, 0.000, 0.000], [0.000, 7.525, 0.000], [0.000, 0.000, 7.441]], "species": ["Hf", "Hf", "Hf", "Hf", "Hf", "Hf", "Hf", "Hf", "Te", "Te", "Te", "Te", "Te", "Te", "S", "S"], "fractional_positions": [[0.000, 0.091, 0.000], [0.000, 0.893, 0.423], [0.244, 0.766, 0.866], [0.256, 0.234, 0.366], [0.500, 0.107, 0.923], [0.500, 0.909, 0.500], [0.744, 0.234, 0.366], [0.756, 0.766, 0.866], [0.000, 0.209, 0.637], [0.247, 0.613, 0.516], [0.253, 0.387, 0.016], [0.500, 0.791, 0.137], [0.747, 0.387, 0.016], [0.753, 0.613, 0.516], [0.000, 0.773, 0.107], [0.500, 0.227, 0.607]], "crystal_system": "orthorhombic", "mass_density_g_cm3": 9.0, "dft_energy_ev_per_cell": -114.9, "magmom_total_mub_per_cell": 0.000, "spacegroup": "Pmn2_1", "raw_formation_energy_ev_per_atom": -0.5088}


Record 13
{"formula": "PrBiRh2", "functional": "PBE", "state": "relaxed", "lattice_angstrom": [[2.081, -5.887, 0.000], [2.081, 5.887, 0.000], [0.000, 0.000, 7.121]], "species": ["Pr", "Pr", "Bi", "Bi", "Rh", "Rh", "Rh", "Rh"], "fractional_positions": [[0.052, 0.948, 0.750], [0.948, 0.052, 0.250], [0.228, 0.772, 0.250], [0.772, 0.228, 0.750], [0.386, 0.614, 0.556], [0.386, 0.614, 0.944], [0.614, 0.386, 0.056], [0.614, 0.386, 0.444]], "crystal_system": "orthorhombic", "mass_density_g_cm3": 10.6, "dft_energy_ev_per_cell": -50.4, "magmom_total_mub_per_cell": 0.000, "spacegroup": "Cmcm", "ef_ev_per_fu": -1.8}


Record 14
{"formula": "CeTa2ReC4", "functional": "PBE", "state": "relaxed", "lattice_angstrom": [[1.638, -5.727, 0.000], [1.638, 5.727, 0.000], [0.000, 0.000, 11.180]], "species": ["Ce", "Ce", "Ta", "Ta", "Ta", "Ta", "Re", "Re", "C", "C", "C", "C", "C", "C", "C", "C"], "fractional_positions": [[0.102, 0.898, 0.750], [0.898, 0.102, 0.250], [0.373, 0.627, 0.538], [0.373, 0.627, 0.962], [0.627, 0.373, 0.038], [0.627, 0.373, 0.462], [0.161, 0.839, 0.250], [0.839, 0.161, 0.750], [0.000, 0.000, 0.000], [0.000, 0.000, 0.500], [0.265, 0.735, 0.111], [0.265, 0.735, 0.389], [0.439, 0.561, 0.750], [0.561, 0.439, 0.250], [0.735, 0.265, 0.611], [0.735, 0.265, 0.889]], "crystal_system": "orthorhombic", "mass_density_g_cm3": 11.7, "dft_energy_ev_per_cell": -162.0, "magmom_total_mub_per_cell": 0.000, "spacegroup": "Cmcm", "ef_ev_per_fu": -2.0}


Record 15
{"formula": "SrRe2P", "functional": "PBE", "state": "relaxed", "lattice_angstrom": [[2.100, 1.213, 5.681], [-2.100, 1.213, 5.681], [0.000, -2.425, 5.681]], "species": ["Sr", "Re", "Re", "P"], "fractional_positions": [[0.000, 0.000, 0.000], [0.195, 0.195, 0.195], [0.496, 0.496, 0.496], [0.793, 0.793, 0.793]], "crystal_system": "trigonal", "mass_density_g_cm3": 9.4, "dft_energy_ev_per_cell": -32.3, "magmom_total_mub_per_cell": 0.000, "spacegroup": "R3m", "ef_ev_per_fu": -0.4}


Record 16
{"formula": "Ta2CrOs2", "functional": "PBE", "state": "relaxed", "lattice_angstrom": [[7.379, 0.000, 0.000], [0.000, 7.379, 0.000], [0.000, 0.000, 3.054]], "species": ["Ta", "Ta", "Ta", "Ta", "Cr", "Cr", "Os", "Os", "Os", "Os"], "fractional_positions": [[0.164, 0.336, 0.000], [0.336, 0.836, 0.000], [0.664, 0.164, 0.000], [0.836, 0.664, 0.000], [0.000, 0.000, 0.500], [0.500, 0.500, 0.500], [0.137, 0.637, 0.500], [0.363, 0.137, 0.500], [0.637, 0.863, 0.500], [0.863, 0.363, 0.500]], "crystal_system": "tetragonal", "mass_density_g_cm3": 15.9, "relative_energy_mev_per_atom": 0, "dft_energy_ev_per_cell": -108.8, "magmom_total_mub_per_cell": 0.001, "spacegroup": "P4/mbm", "ef_ev_per_fu": 1.4}


Record 17
{"formula": "NaSnSb", "functional": "PBE", "state": "relaxed", "lattice_angstrom": [[4.367, 0.000, 0.000], [-2.183, 3.782, 0.000], [0.000, 0.000, 11.795]], "species": ["Na", "Na", "Sn", "Sn", "Sb", "Sb"], "fractional_positions": [[0.333, 0.667, 0.000], [0.667, 0.333, 0.500], [0.000, 0.000, 0.307], [0.000, 0.000, 0.807], [0.333, 0.667, 0.681], [0.667, 0.333, 0.181]], "crystal_system": "hexagonal", "mass_density_g_cm3": 4.5, "relative_energy_mev_per_atom": 0, "dft_energy_ev_per_cell": -20.3, "magmom_total_mub_per_cell": 0.000, "spacegroup": "P6_3mc", "raw_formation_energy_ev_per_atom": -0.2403}


Record 18
{"formula": "CrMo6Se8", "functional": "PBE", "state": "relaxed", "lattice_angstrom": [[4.832, 2.790, 3.773], [-4.832, 2.790, 3.773], [0.000, -5.579, 3.773]], "species": ["Cr", "Mo", "Mo", "Mo", "Mo", "Mo", "Mo", "Se", "Se", "Se", "Se", "Se", "Se", "Se", "Se"], "fractional_positions": [[0.000, 0.000, 0.000], [0.228, 0.420, 0.550], [0.420, 0.550, 0.228], [0.450, 0.772, 0.580], [0.550, 0.228, 0.420], [0.580, 0.450, 0.772], [0.772, 0.580, 0.450], [0.128, 0.747, 0.367], [0.222, 0.222, 0.222], [0.253, 0.633, 0.872], [0.367, 0.128, 0.747], [0.633, 0.872, 0.253], [0.747, 0.367, 0.128], [0.778, 0.778, 0.778], [0.872, 0.253, 0.633]], "crystal_system": "trigonal", "mass_density_g_cm3": 6.9, "dft_energy_ev_per_cell": -109.2, "magmom_total_mub_per_cell": 3.406, "spacegroup": "R-3", "raw_formation_energy_ev_per_atom": -0.4444}


Record 19
{"formula": "HoGa3Au", "functional": "PBE", "state": "relaxed", "lattice_angstrom": [[2.077, -12.005, 0.000], [2.077, 12.005, 0.000], [0.000, 0.000, 4.114]], "species": ["Ho", "Ho", "Ga", "Ga", "Ga", "Ga", "Ga", "Ga", "Au", "Au"], "fractional_positions": [[0.172, 0.828, 0.000], [0.828, 0.172, 0.000], [0.052, 0.948, 0.500], [0.276, 0.724, 0.500], [0.448, 0.552, 0.000], [0.552, 0.448, 0.000], [0.724, 0.276, 0.500], [0.948, 0.052, 0.500], [0.380, 0.620, 0.500], [0.620, 0.380, 0.500]], "crystal_system": "orthorhombic", "mass_density_g_cm3": 9.2, "relative_energy_mev_per_atom": 42, "dft_energy_ev_per_cell": -38.7, "magmom_total_mub_per_cell": 0.000, "spacegroup": "Cmmm", "ef_ev_per_fu": -2.4}


Record 20
{"formula": "ScAlGe3", "functional": "PBE", "state": "relaxed", "lattice_angstrom": [[4.842, 0.000, 0.000], [0.000, 4.842, 0.000], [0.000, 0.000, 4.842]], "species": ["Sc", "Al", "Ge", "Ge", "Ge"], "fractional_positions": [[0.000, 0.000, 0.000], [0.500, 0.500, 0.500], [0.000, 0.500, 0.500], [0.500, 0.000, 0.500], [0.500, 0.500, 0.000]], "crystal_system": "cubic", "mass_density_g_cm3": 4.2, "dft_energy_ev_per_cell": -22.1, "magmom_total_mub_per_cell": 0.000, "spacegroup": "Pm-3m", "ef_ev_per_fu": 1.9}


Record 21
{"formula": "Ce2PmInC", "functional": "PBE", "state": "relaxed", "lattice_angstrom": [[4.954, 0.000, 0.000], [0.000, 4.954, 0.000], [0.000, 0.000, 5.156]], "species": ["Ce", "Ce", "Pm", "In", "C"], "fractional_positions": [[0.000, 0.500, 0.000], [0.500, 0.000, 0.000], [0.000, 0.000, 0.500], [0.500, 0.500, 0.500], [0.000, 0.000, 0.000]], "crystal_system": "tetragonal", "mass_density_g_cm3": 7.2, "dft_energy_ev_per_cell": -30.2, "magmom_total_mub_per_cell": 1.030, "spacegroup": "P4/mmm", "ef_ev_per_fu": -1.6}


Record 22
{"formula": "RbMnVCl6", "functional": "PBE", "state": "relaxed", "lattice_angstrom": [[6.461, 0.000, 0.000], [-3.230, 5.595, 0.000], [0.000, 0.000, 7.361]], "species": ["Rb", "Mn", "V", "Cl", "Cl", "Cl", "Cl", "Cl", "Cl"], "fractional_positions": [[0.000, 0.000, 0.000], [0.667, 0.333, 0.500], [0.333, 0.667, 0.500], [0.014, 0.380, 0.689], [0.014, 0.634, 0.311], [0.366, 0.380, 0.311], [0.366, 0.986, 0.689], [0.620, 0.634, 0.689], [0.620, 0.986, 0.311]], "crystal_system": "trigonal", "mass_density_g_cm3": 2.5, "dft_energy_ev_per_cell": -42.6, "magmom_total_mub_per_cell": 7.000, "spacegroup": "P312", "raw_formation_energy_ev_per_atom": -1.3639}


Record 23
{"formula": "MnRe2Pd", "functional": "PBE", "state": "relaxed", "lattice_angstrom": [[-1.845, 1.845, 9.460], [1.845, -1.845, 9.460], [1.845, 1.845, -9.460]], "species": ["Mn", "Mn", "Re", "Re", "Re", "Re", "Pd", "Pd"], "fractional_positions": [[0.000, 0.000, 0.000], [0.750, 0.250, 0.500], [0.097, 0.625, 0.972], [0.375, 0.347, 0.472], [0.653, 0.125, 0.028], [0.875, 0.903, 0.528], [0.250, 0.750, 0.500], [0.500, 0.500, 0.000]], "crystal_system": "tetragonal", "mass_density_g_cm3": 13.8, "relative_energy_mev_per_atom": 69, "dft_energy_ev_per_cell": -73.7, "magmom_total_mub_per_cell": 7.260, "spacegroup": "I-42d", "ef_ev_per_fu": 2.4}


Record 24
{"formula": "SnBiTeI2", "functional": "PBE", "state": "relaxed", "lattice_angstrom": [[5.880, 0.000, 0.000], [0.000, 5.880, 0.000], [0.000, 0.000, 6.016]], "species": ["Sn", "Bi", "Te", "I", "I"], "fractional_positions": [[0.000, 0.000, 0.000], [0.500, 0.500, 0.500], [0.000, 0.000, 0.500], [0.000, 0.500, 0.000], [0.500, 0.000, 0.000]], "crystal_system": "tetragonal", "mass_density_g_cm3": 5.7, "relative_energy_mev_per_atom": 24, "dft_energy_ev_per_cell": -12.8, "magmom_total_mub_per_cell": 1.404, "spacegroup": "P4/mmm", "raw_formation_energy_ev_per_atom": 0.2562}